Record 1
Density functional theory data (PBE) for TbZrTc4 after structural relaxation. Values from VASP.

Properties
Formation energy   -0.179 eV per atom
Raw total energy   -9.286 eV/atom
Magnetic moment   0.0 μB per formula unit
Calculated volume   18.0 Å³/atom
Crystal system   cubic

Quantum ESPRESSO input file:
```
&SYSTEM
  ibrav = 0, nat = 6, ntyp = 3
/
ATOMIC_SPECIES
Tc 98.00 Tc.upf
Zr 91.22 Zr.upf
Tb 158.93 Tb.upf
ATOMIC_POSITIONS crystal
Tc 0.6253 0.6253 0.1240
Zr 0.0000 0.0000 0.0000
Tc 0.1240 0.6253 0.6253
Tc 0.6253 0.6253 0.6253
Tc 0.6253 0.1240 0.6253
Tb 0.2500 0.2500 0.2500
CELL_PARAMETERS angstrom
-3.0487 0.6812 -4.3385
-3.2720 -3.9100 -1.6086
-5.2917 0.5623 0.5129
```



Record 2
Density functional theory data (PBE) for Tb4Te5 after structural relaxation. Values from VASP.

Properties
Raw total energy   -4.730 eV/atom
Magnetic moment   0.0 μB per formula unit
Calculated volume   30.5 Å³/atom
Crystal system   tetragonal

Quantum ESPRESSO input file:
```
&SYSTEM
  ibrav = 0, nat = 9, ntyp = 2
/
ATOMIC_SPECIES
Te 127.60 Te.upf
Tb 158.93 Tb.upf
ATOMIC_POSITIONS crystal
Te 0.3039 0.6961 0.6961
Te 0.0000 0.3039 0.6961
Te 0.0000 0.6961 0.3039
Tb 0.6562 0.6876 0.0000
Tb 0.6562 0.0000 0.6876
Te 0.6961 0.3039 0.3039
Tb 0.3438 0.0000 0.3124
Te 0.0000 0.0000 0.0000
Tb 0.3438 0.3124 0.0000
CELL_PARAMETERS angstrom
-2.8007 -0.1665 -2.7357
4.3682 -1.8904 -7.1635
-2.4158 -8.2527 0.1688
```



Record 3
Density functional theory data (PBE) for Tb4Te after structural relaxation. Values from VASP.

Properties
Raw total energy   -4.374 eV/atom
Magnetic moment   0.0 μB per formula unit
Calculated volume   37.3 Å³/atom
Crystal system   cubic

Quantum ESPRESSO input file:
```
&SYSTEM
  ibrav = 0, nat = 5, ntyp = 2
/
ATOMIC_SPECIES
Tb 158.93 Tb.upf
Te 127.60 Te.upf
ATOMIC_POSITIONS crystal
Tb 0.5000 0.5000 0.0000
Tb 0.0000 0.0000 0.0000
Tb 0.5000 0.0000 0.5000
Te 0.5000 0.5000 0.5000
Tb 0.0000 0.5000 0.5000
CELL_PARAMETERS angstrom
-3.9401 2.7664 3.0725
-3.9761 -3.6989 -1.7684
1.1333 -3.3591 4.4778
```



Record 4
Density functional theory data (PBE) for Tb4Te3 after structural relaxation. Values from VASP.

Properties
Raw total energy   -5.098 eV/atom
Magnetic moment   0.0 μB per formula unit
E above lowest polymorph   0.0 meV/atom
Calculated volume   27.4 Å³/atom
Crystal system   cubic

Quantum ESPRESSO input file:
```
&SYSTEM
  ibrav = 0, nat = 14, ntyp = 2
/
ATOMIC_SPECIES
Tb 158.93 Tb.upf
Te 127.60 Te.upf
ATOMIC_POSITIONS crystal
Tb 0.3550 0.5000 0.0000
Tb 0.0000 0.0000 0.8550
Te 0.3750 0.1250 0.7500
Te 0.8750 0.2500 0.6250
Te 0.6250 0.7500 0.8750
Tb 0.8550 0.5000 0.0000
Te 0.7500 0.6250 0.3750
Tb 0.6450 0.1450 0.1450
Tb 0.0000 0.0000 0.3550
Tb 0.5000 0.3550 0.5000
Tb 0.5000 0.8550 0.5000
Te 0.2500 0.8750 0.1250
Tb 0.1450 0.6450 0.6450
Te 0.1250 0.3750 0.2500
CELL_PARAMETERS angstrom
7.9295 0.0000 0.0000
-2.6432 7.4760 0.0000
-2.6432 -3.7380 6.4744
```



Record 5
Density functional theory data (PBE) for Tb4Te3 after structural relaxation. Values from VASP.

Properties
Raw total energy   -5.059 eV/atom
Magnetic moment   0.0 μB per formula unit
E above lowest polymorph   38.6 meV/atom
Calculated volume   30.8 Å³/atom
Crystal system   trigonal

Quantum ESPRESSO input file:
```
&SYSTEM
  ibrav = 0, nat = 7, ntyp = 2
/
ATOMIC_SPECIES
Te 127.60 Te.upf
Tb 158.93 Tb.upf
ATOMIC_POSITIONS crystal
Te 0.0000 0.0000 0.0000
Tb 0.8655 0.8655 0.4036
Tb 0.3797 0.3797 0.8608
Te 0.2437 0.2437 0.2688
Tb 0.1345 0.1345 0.5964
Te 0.7563 0.7563 0.7312
Tb 0.6203 0.6203 0.1392
CELL_PARAMETERS angstrom
-0.3954 -0.6947 4.1077
0.6193 -3.8408 1.5416
13.8513 1.4424 3.7087
```



Record 6
Density functional theory data (PBE) for Tb5Te3 after structural relaxation. Values from VASP.

Properties
Raw total energy   -5.032 eV/atom
Magnetic moment   0.0 μB per formula unit
Calculated volume   27.4 Å³/atom
Crystal system   hexagonal

Quantum ESPRESSO input file:
```
&SYSTEM
  ibrav = 0, nat = 16, ntyp = 2
/
ATOMIC_SPECIES
Te 127.60 Te.upf
Tb 158.93 Tb.upf
ATOMIC_POSITIONS crystal
Te 0.2500 0.3845 0.0000
Te 0.2500 0.6155 0.6155
Tb 0.5000 0.6667 0.3333
Tb 0.0000 0.3333 0.6667
Te 0.2500 0.0000 0.3845
Tb 0.2500 0.2555 0.2555
Tb 0.2500 0.0000 0.7445
Tb 0.2500 0.7445 0.0000
Tb 0.0000 0.6667 0.3333
Tb 0.7500 0.2555 0.0000
Te 0.7500 0.0000 0.6155
Te 0.7500 0.3845 0.3845
Tb 0.5000 0.3333 0.6667
Te 0.7500 0.6155 0.0000
Tb 0.7500 0.0000 0.2555
Tb 0.7500 0.7445 0.7445
CELL_PARAMETERS angstrom
6.1589 0.0000 0.0000
0.0000 7.8548 -4.5350
0.0000 0.0000 9.0699
```



Number 3 is which compound? Tb4Te



Look up the calculated volume of the fifth one. 30.8 Å³/atom